1.
The following is a DFT calculation (PBE) of a geometry-optimized CsTiCu3 structure.

The structure in extended XYZ format:
```
5
Lattice="5.149 0.000 0.000 0.000 5.149 0.000 0.000 0.000 5.149" Properties=species:S:1:pos:R:3 pbc="T T T"
Cs 0.000 0.000 0.000
Ti 2.574 2.574 2.574
Cu 0.000 0.000 2.574
Cu 0.000 2.574 0.000
Cu 2.574 0.000 0.000
```

Symmetry: Pm-3m, No. 221
E above lowest polymorph in meV/atom: 1283
Calculated total energy in eV/atom: -2.06

=====

2.
The following is a DFT calculation (PBE) of a geometry-optimized Cs3TlCu structure.

The structure in extended XYZ format:
```
5
Lattice="6.866 0.000 0.000 0.000 6.866 0.000 0.000 0.000 6.866" Properties=species:S:1:pos:R:3 pbc="T T T"
Cs 0.000 0.000 3.433
Cs 0.000 3.433 0.000
Cs 3.433 0.000 0.000
Tl 3.433 3.433 3.433
Cu 0.000 0.000 0.000
```

Symmetry: Pm-3m, No. 221
E above lowest polymorph in meV/atom: 0
Calculated total energy in eV/atom: -1.52

=====

3.
The following is a DFT calculation (PBE) of a geometry-optimized CsTlCu structure.

The structure in extended XYZ format:
```
6
Lattice="3.845 -2.454 0.000 3.845 2.454 0.000 -2.355 0.000 12.295" Properties=species:S:1:pos:R:3 pbc="T T T"
Cs 0.000 0.000 0.000
Cs -0.013 0.000 5.954
Tl 2.586 0.000 3.033
Tl 2.875 0.000 9.122
Cu 0.156 0.000 9.517
Cu 5.300 0.000 3.040
```

Symmetry: Cm, No. 8
Calculated total energy in eV/atom: -2.21

=====

4.
The following is a DFT calculation (PBE) of a geometry-optimized CsTl2Cu2 structure.

The structure in extended XYZ format:
```
10
Lattice="8.788 0.000 0.000 0.000 8.788 0.000 0.000 0.000 3.773" Properties=species:S:1:pos:R:3 pbc="T T T"
Cs 0.000 0.000 0.000
Cs 4.394 4.394 0.000
Tl 1.296 3.098 1.887
Tl 3.098 7.492 1.887
Tl 5.690 1.296 1.887
Tl 7.492 5.690 1.887
Cu 0.879 5.272 0.000
Cu 3.515 0.879 0.000
Cu 5.272 7.909 0.000
Cu 7.909 3.515 0.000
```

Symmetry: P4/mbm, No. 127
E above lowest polymorph in meV/atom: 133
Calculated total energy in eV/atom: -2.43

=====

Computed ΔH_f (0 K), in the same sequence as the records: 2146 286 226 324 meV per atom.